*a*
A plane-wave DFT calculation with PBE-GGA was carried out for TiCuPdRh after structural relaxation.

Cell: 3.536 3.874 4.125 Å, 90.00 90.00 90.00°
Space group Pmmm (No. 47)
One atom of each set of equivalent atoms:
Ti: 0.000 0.000 0.000
Cu: 0.000 0.500 0.500
Pd: 0.500 0.000 0.500
Rh: 0.500 0.500 0.000

Values from the calculation:
M_tot: 0.00 μB/f.u.
calculated volume: 14.1 Å³ per atom



*b*
A plane-wave DFT calculation with PBE-GGA was carried out for TiCuPdRh after structural relaxation.

Cell: 6.108 6.108 6.108 Å, 90.00 90.00 90.00°
Space group F-43m (No. 216)
One atom of each set of equivalent atoms:
Ti: 0.000 0.000 0.000
Cu: 0.000 0.000 0.500
Pd: 0.250 0.250 0.250
Rh: 0.250 0.250 0.750

Values from the calculation:
M_tot: 0.00 μB/f.u.
calculated volume: 14.2 Å³ per atom



Verdict on stability: *a* comes out on top.



*a*
A plane-wave DFT calculation with PBE-GGA was carried out for CuPd2Ru after structural relaxation.

Cell: 6.183 6.183 6.183 Å, 90.00 90.00 90.00°
Space group Fm-3m (No. 225)
One atom of each set of equivalent atoms:
Cu: 0.000 0.000 0.000
Pd: 0.250 0.250 0.250
Ru: 0.000 0.000 0.500

Values from the calculation:
M_tot: 2.90 μB/f.u.
calculated volume: 14.8 Å³ per atom



*b*
A plane-wave DFT calculation with PBE-GGA was carried out for CuPd2Ru after structural relaxation.

Cell: 2.759 2.759 7.492 Å, 90.00 90.00 90.00°
Space group P4/mmm (No. 123)
One atom of each set of equivalent atoms:
Cu: 0.000 0.000 0.000
Pd: 0.500 0.500 0.244
Ru: 0.000 0.000 0.500

Values from the calculation:
M_tot: 1.06 μB/f.u.
calculated volume: 14.3 Å³ per atom



*c*
A plane-wave DFT calculation with PBE-GGA was carried out for CuPd2Ru after structural relaxation.

Cell: 2.7418 2.7418 26.2933 Å, 90.00 90.00 120.00°
Space group R-3m (No. 166, hexagonal axes)
One atom of each set of equivalent atoms:
Cu: 0.0000 0.0000 0.0000
Pd: 0.0000 0.0000 0.2516
Ru: 0.0000 0.0000 0.5000

Values from the calculation:
M_tot: 0.00 μB/f.u.
calculated volume: 14.3 Å³ per atom



*d*
A plane-wave DFT calculation with PBE-GGA was carried out for CuPd2Ru after structural relaxation.

Cell: 6.910 6.910 5.310 Å, 90.00 90.00 90.00°
Space group I-42d (No. 122)
One atom of each set of equivalent atoms:
Cu: 0.000 0.000 0.000
Pd: 0.240 0.250 0.125
Ru: 0.000 0.000 0.500

Values from the calculation:
M_tot: 2.15 μB/f.u.
calculated volume: 15.8 Å³ per atom



Verdict on stability: *c* comes out on top.



*a*
A plane-wave DFT calculation with PBE-GGA was carried out for Cu2PdRu after structural relaxation.

Cell: 6.011 6.011 6.011 Å, 90.00 90.00 90.00°
Space group Fm-3m (No. 225)
One atom of each set of equivalent atoms:
Cu: 0.250 0.250 0.250
Pd: 0.000 0.000 0.000
Ru: 0.000 0.000 0.500

Values from the calculation:
M_tot: 2.13 μB/f.u.
calculated volume: 13.6 Å³ per atom



*b*
A plane-wave DFT calculation with PBE-GGA was carried out for Cu2PdRu after structural relaxation.

Cell: 2.6867 2.6867 25.9537 Å, 90.00 90.00 120.00°
Space group R-3m (No. 166, hexagonal axes)
One atom of each set of equivalent atoms:
Cu: 0.0000 0.0000 0.2493
Pd: 0.0000 0.0000 0.0000
Ru: 0.0000 0.0000 0.5000

Values from the calculation:
M_tot: 0.39 μB/f.u.
calculated volume: 13.5 Å³ per atom



*c*
A plane-wave DFT calculation with PBE-GGA was carried out for Cu2PdRu after structural relaxation.

Cell: 6.764 6.764 5.223 Å, 90.00 90.00 90.00°
Space group I-42d (No. 122)
One atom of each set of equivalent atoms:
Cu: 0.246 0.250 0.125
Pd: 0.000 0.000 0.500
Ru: 0.000 0.000 0.000

Values from the calculation:
M_tot: 1.83 μB/f.u.
calculated volume: 14.9 Å³ per atom



Verdict on stability: *b* comes out on top.



*a*
A plane-wave DFT calculation with PBE-GGA was carried out for CuPd3S after structural relaxation.

Cell: 5.421 4.412 6.436 Å, 90.00 91.17 90.00°
Space group P2_1 (No. 4)
One atom of each set of equivalent atoms:
Cu: 0.113 0.000 0.301
Pd: 0.172 0.010 0.719
Pd: 0.210 0.503 0.013
Pd: 0.318 0.516 0.477
S: 0.486 0.201 0.211

Values from the calculation:
M_tot: 0.00 μB/f.u.
calculated volume: 15.4 Å³ per atom



*b*
A plane-wave DFT calculation with PBE-GGA was carried out for CuPd3S after structural relaxation.

Cell: 4.587 4.587 4.587 Å, 90.00 90.00 90.00°
Space group Pm-3m (No. 221)
One atom of each set of equivalent atoms:
Cu: 0.000 0.000 0.000
Pd: 0.000 0.000 0.500
S: 0.500 0.500 0.500

Values from the calculation:
M_tot: 0.00 μB/f.u.
calculated volume: 19.3 Å³ per atom



Verdict on stability: *a* comes out on top.



*a*
A plane-wave DFT calculation with PBE-GGA was carried out for CuSb2Pd7 after structural relaxation.

Cell: 7.646 16.265 3.004 Å, 90.00 90.00 90.00°
Space group Cmmm (No. 65)
One atom of each set of equivalent atoms:
Cu: 0.000 0.000 0.000
Sb: 0.000 0.333 0.500
Pd: 0.000 0.200 0.000
Pd: 0.000 0.500 0.500
Pd: 0.198 0.091 0.500

Values from the calculation:
M_tot: 0.00 μB/f.u.
calculated volume: 18.7 Å³ per atom



*b*
A plane-wave DFT calculation with PBE-GGA was carried out for CuSb2Pd7 after structural relaxation.

Cell: 4.030 4.030 21.826 Å, 90.00 90.00 90.00°
Space group I4/mmm (No. 139)
One atom of each set of equivalent atoms:
Cu: 0.000 0.000 0.000
Sb: 0.000 0.000 0.334
Pd: 0.000 0.000 0.500
Pd: 0.000 0.500 0.087
Pd: 0.000 0.500 0.250

Values from the calculation:
M_tot: 0.00 μB/f.u.
calculated volume: 17.7 Å³ per atom



Verdict on stability: *b* comes out on top.



*a*
A plane-wave DFT calculation with PBE-GGA was carried out for CuSbPd5 after structural relaxation.

Cell: 8.878 9.002 6.773 Å, 90.00 118.88 90.00°
Space group C2/c (No. 15)
One atom of each set of equivalent atoms:
Cu: 0.250 0.250 0.000
Sb: 0.000 0.199 0.250
Pd: 0.000 0.081 0.750
Pd: 0.048 0.360 0.589
Pd: 0.240 0.414 0.362

Values from the calculation:
M_tot: 0.00 μB/f.u.
calculated volume: 16.9 Å³ per atom



*b*
A plane-wave DFT calculation with PBE-GGA was carried out for CuSbPd5 after structural relaxation.

Cell: 7.123 5.785 11.323 Å, 90.00 90.00 90.00°
Space group Cmcm (No. 63)
One atom of each set of equivalent atoms:
Cu: 0.000 0.098 0.250
Sb: 0.000 0.500 0.000
Pd: 0.000 0.467 0.750
Pd: 0.211 0.167 0.618

Values from the calculation:
M_tot: 0.00 μB/f.u.
calculated volume: 16.7 Å³ per atom



Verdict on stability: *b* comes out on top.